Record 1
First-principles (PBE) data for crystalline RbHgGeSe4 at its relaxed geometry, as listed in Alexandria via LeMat-Bulk.

## Properties
As for the formation energy without anion corrections: -2.872 eV/f.u. The value obtained for the magnetic moment is 0.00 μB/atom. For the density of states at the Fermi level, the calculation gives 0.124 states/eV per atom.

```
RbHgGeSe4
1.0
6.9962 0.0000 -0.0296
0.0000 6.6108 0.0000
-2.8174 0.0000 10.1040
Rb Hg Ge Se
2 2 2 8
Cartesian
2.7491 4.9581 9.7130
1.4297 1.6527 0.3615
4.2277 4.9581 3.4125
-0.0488 1.6527 6.6619
0.7553 4.9581 3.0146
3.4236 1.6527 7.0599
-2.0033 3.4550 7.1980
6.1821 0.1496 2.8765
6.1821 3.1558 2.8765
-2.0033 6.4612 7.1980
2.3008 4.9581 1.2346
1.8780 1.6527 8.8399
2.1411 4.9581 5.0404
2.0378 1.6527 5.0341
```



Record 2
First-principles (PBE) data for crystalline CaHg2Os at its relaxed geometry, as listed in Alexandria via LeMat-Bulk.

## Properties
The value obtained for the magnetic moment is 0.00 μB/atom. For the density of states at the Fermi level, the calculation gives 0.742 states/eV per atom.

```
CaHg2Os
1.0
-4.9403 1.4028 0.3985
-0.7699 0.3536 5.0809
3.7160 2.1807 -2.8230
Ca Os Hg
1 1 2
Cartesian
0.0455 1.7062 2.4988
-2.0397 2.2308 0.1576
-5.7100 1.7563 5.4792
-2.8553 0.8782 2.7399
```



Record 3
First-principles (PBE) data for crystalline Na2Tl3Pt2 at its relaxed geometry, as listed in Alexandria via LeMat-Bulk.

## Properties
The value obtained for the magnetic moment is 0.00 μB/atom. For the density of states at the Fermi level, the calculation gives 0.286 states/eV per atom.

```
Na2Tl3Pt2
1.0
4.3698 0.0000 0.0000
-2.1849 5.4539 -0.1684
0.0000 -2.7126 7.1965
Na Tl Pt
2 3 2
Cartesian
2.1849 3.1915 1.2654
0.0000 -0.4502 5.7626
2.1849 0.0000 0.0000
2.1849 0.1662 3.2795
0.0000 2.5751 3.7486
2.1849 1.8910 5.5428
0.0000 0.8503 1.4853
```



Record 4
First-principles (PBE) data for crystalline La2TaHg at its relaxed geometry, as listed in Alexandria via LeMat-Bulk.

## Properties
The value obtained for the magnetic moment is 0.00 μB/atom. For the density of states at the Fermi level, the calculation gives 1.412 states/eV per atom.

```
La2TaHg
1.0
-9.0180 -5.6860 2.8513
-7.1513 -6.2130 5.6607
-9.0313 -3.3785 5.3673
Hg La Ta
1 2 1
Cartesian
-18.9005 -11.4581 10.4095
-25.0877 -15.2091 13.8171
-12.7132 -7.7072 7.0018
-6.3002 -3.8194 3.4698
```



Record 5
First-principles (PBE) data for crystalline Pm3Tm4In at its relaxed geometry, as listed in Alexandria via LeMat-Bulk.

## Properties
The value obtained for the magnetic moment is 0.05 μB/atom. For the density of states at the Fermi level, the calculation gives 1.631 states/eV per atom. Its relative energy among the computed polymorphs is 0.193 eV per atom.

```
Pm3Tm4In
1.0
3.3670 0.0000 -0.4248
-0.1046 5.7488 -0.8291
-0.0666 0.1519 13.0275
Tm In Pm
4 1 3
Cartesian
2.3619 1.4188 5.1640
0.8339 4.4819 6.6095
0.3056 1.0339 2.4222
2.8902 4.8668 9.3513
1.6835 0.0000 -0.2124
-0.0523 2.8744 -0.4146
0.4143 4.1085 3.2838
2.7815 1.7922 8.4897
```



Record 6
First-principles (PBE) data for crystalline Ca2WBr at its relaxed geometry, as listed in Alexandria via LeMat-Bulk.

## Properties
As for the formation energy without anion corrections: 2.057 eV/f.u. The value obtained for the magnetic moment is 0.76 μB/atom. For the density of states at the Fermi level, the calculation gives 0.526 states/eV per atom. Its relative energy among the computed polymorphs is 0.490 eV per atom.

```
Ca2WBr
1.0
4.2728 0.0000 0.0000
0.0000 4.2728 0.0000
0.0000 0.0000 6.2701
Ca Br W
2 1 1
Cartesian
0.0000 0.0000 5.8021
2.1364 2.1364 2.0452
2.1364 2.1364 5.2681
0.0000 0.0000 2.5599
```



Record 7
First-principles (PBE) data for crystalline Te2PbSeI at its relaxed geometry, as listed in Alexandria via LeMat-Bulk.

## Properties
As for the formation energy without anion corrections: 0.903 eV/f.u. The value obtained for the magnetic moment is 0.00 μB/atom. For the density of states at the Fermi level, the calculation gives 0.525 states/eV per atom. Its relative energy among the computed polymorphs is 0.000 eV per atom.

```
Te2PbSeI
1.0
5.5164 0.0000 0.0000
0.0000 5.5164 0.0000
0.0000 0.0000 5.7519
Pb I Te Se
1 1 2 1
Cartesian
2.7582 2.7582 2.8759
0.0000 0.0000 2.8759
0.0000 2.7582 0.0000
2.7582 0.0000 0.0000
0.0000 0.0000 0.0000
```



Record 8
First-principles (PBE) data for crystalline LiTa4WN8 at its relaxed geometry, as listed in Alexandria via LeMat-Bulk.

## Properties
As for the formation energy without anion corrections: -11.326 eV/f.u. The value obtained for the magnetic moment is 0.00 μB/atom. For the density of states at the Fermi level, the calculation gives 0.321 states/eV per atom.

```
LiTa4WN8
1.0
-2.0829 5.0273 -2.8468
-4.6389 3.2064 2.4322
1.0933 5.5971 2.4599
Li Ta W N
1 4 1 8
Cartesian
-6.6998 8.2526 -0.3974
-4.0489 5.8590 0.0605
-1.7681 4.3977 2.4355
-0.4983 5.3023 -0.1871
0.5364 2.8048 1.2272
-1.6025 7.9522 1.9670
-3.2233 7.8282 2.9339
-1.9394 8.7428 0.2821
-0.8931 6.2176 1.7121
-1.4309 3.4374 0.4928
-2.3508 6.0222 -0.8938
-3.6621 5.0880 1.8146
-4.7308 7.6673 0.3541
-4.2739 10.3282 1.4931
```



Record 9
First-principles (PBE) data for crystalline AcBeF6 at its relaxed geometry, as listed in Alexandria via LeMat-Bulk.

## Properties
As for the formation energy without anion corrections: -25.409 eV/f.u. The value obtained for the magnetic moment is 0.13 μB/atom. For the density of states at the Fermi level, the calculation gives 0.621 states/eV per atom.

```
AcBeF6
1.0
-0.1172 0.8963 -4.5222
1.6047 -4.3176 -0.2247
-3.9680 -2.1323 -0.9971
Ac Be F
1 1 6
Cartesian
-1.2402 -2.7769 -2.8720
0.0000 0.0000 0.0000
0.0787 -3.6551 -0.7687
-1.0468 -0.2472 -3.5777
-1.4336 -5.3065 -2.1663
-2.5591 -1.8986 -4.9753
0.1099 -1.0901 -1.3666
-2.5903 -4.4636 -4.3774
```



Record 10
First-principles (PBE) data for crystalline TbPr5Ho3 at its relaxed geometry, as listed in Alexandria via LeMat-Bulk.

## Properties
The value obtained for the magnetic moment is 0.00 μB/atom. For the density of states at the Fermi level, the calculation gives 1.524 states/eV per atom. Its relative energy among the computed polymorphs is 0.035 eV per atom.

```
TbPr5Ho3
1.0
-1.2089 1.1745 9.2157
3.3995 -8.5929 1.5411
5.5363 6.4267 -4.8548
Tb Pr Ho
2 10 6
Cartesian
2.7113 1.9460 4.8696
5.0155 -2.9377 1.0323
5.9165 -0.0860 -2.0561
3.8249 4.0778 2.8252
4.0994 4.3245 -1.9322
5.6420 -0.3327 2.7013
1.8104 -0.9058 7.9581
3.9020 -5.0695 3.0768
3.6274 -5.3162 7.8342
2.0849 -0.6591 3.2006
1.0953 -3.7092 5.3784
0.0000 0.0000 0.0000
-0.3647 -0.2245 5.7849
2.5553 -7.1939 4.9719
0.9951 -4.1908 9.1464
1.1955 -3.2276 1.6104
3.3158 1.3587 0.2618
4.4111 -2.3505 5.6402
```



Record 11
First-principles (PBE) data for crystalline Ce4PtSe2Br at its relaxed geometry, as listed in Alexandria via LeMat-Bulk.

## Properties
As for the formation energy without anion corrections: -11.436 eV/f.u. The value obtained for the magnetic moment is 0.50 μB/atom. For the density of states at the Fermi level, the calculation gives 3.044 states/eV per atom.

```
Ce4PtSe2Br
1.0
-3.0590 -0.8314 -2.6072
-4.5026 -1.3937 5.7271
-3.3643 6.2298 1.9607
Ce Pt Se Br
4 1 2 1
Cartesian
-5.9169 3.7435 5.7483
-5.0090 0.2612 -0.6678
-5.7570 0.0358 3.5124
-5.1689 3.9689 1.5682
-3.7808 -1.1125 1.5600
-3.3643 6.2298 1.9607
-3.2116 2.6992 -0.3233
-3.9334 2.4181 3.8439
```



Record 12
First-principles (PBE) data for crystalline HfTi3Mo at its relaxed geometry, as listed in Alexandria via LeMat-Bulk.

## Properties
The value obtained for the magnetic moment is 0.00 μB/atom. For the density of states at the Fermi level, the calculation gives 1.606 states/eV per atom. Its relative energy among the computed polymorphs is 0.525 eV per atom.

```
HfTi3Mo
1.0
4.7014 0.0000 0.0000
0.0000 4.7014 0.0000
0.0000 0.0000 4.7014
Mo Hf Ti
1 1 3
Cartesian
0.0000 0.0000 0.0000
2.3507 2.3507 2.3507
0.0000 2.3507 0.0000
0.0000 0.0000 2.3507
2.3507 0.0000 0.0000
```



Record 13
First-principles (PBE) data for crystalline CuNi2PtAu at its relaxed geometry, as listed in Alexandria via LeMat-Bulk.

## Properties
The value obtained for the magnetic moment is 0.43 μB/atom. For the density of states at the Fermi level, the calculation gives 1.082 states/eV per atom.

```
CuNi2PtAu
1.0
-2.6445 -0.5890 3.6834
-3.2820 -1.9866 -2.6740
1.9015 -4.0973 0.7101
Ni Au Cu Pt
2 1 1 1
Cartesian
0.9508 -2.0487 0.3550
-1.3223 -0.2945 1.8417
-2.0125 -3.3364 0.8597
-1.6410 -0.9933 -1.3370
0.0000 0.0000 0.0000
```



Record 14
First-principles (PBE) data for crystalline LaSc2 at its relaxed geometry, as listed in Alexandria via LeMat-Bulk.

## Properties
The value obtained for the magnetic moment is 0.00 μB/atom. For the density of states at the Fermi level, the calculation gives 1.843 states/eV per atom. Its relative energy among the computed polymorphs is 0.002 eV per atom.

```
LaSc2
1.0
-1.7548 0.3224 -2.9369
-0.7094 -2.5846 2.1505
-11.1654 9.4814 7.7121
La Sc
2 4
Cartesian
-10.9665 9.3126 7.5748
-3.4661 1.1025 0.1816
-3.9627 3.3650 2.7371
-7.3654 6.2545 5.0874
-7.0672 4.1605 2.6690
-10.4699 7.0500 5.0193
```



Record 15
First-principles (PBE) data for crystalline Sr3MnGa at its relaxed geometry, as listed in Alexandria via LeMat-Bulk.

## Properties
The value obtained for the magnetic moment is 0.52 μB/atom. For the density of states at the Fermi level, the calculation gives 1.115 states/eV per atom.

```
Sr3MnGa
1.0
5.8565 0.0000 0.0000
0.0000 5.8565 0.0000
0.0000 0.0000 5.8565
Sr Mn Ga
3 1 1
Cartesian
0.0000 2.9283 0.0000
0.0000 0.0000 2.9283
2.9283 0.0000 0.0000
0.0000 0.0000 0.0000
2.9283 2.9283 2.9283
```



Record 16
First-principles (PBE) data for crystalline Ca3Ga4Pd4 at its relaxed geometry, as listed in Alexandria via LeMat-Bulk.

## Properties
The value obtained for the magnetic moment is 0.00 μB/atom. For the density of states at the Fermi level, the calculation gives 0.523 states/eV per atom.

```
Ca3Ga4Pd4
1.0
-0.5540 -2.9897 -3.1343
3.2979 -1.9982 1.3231
-8.8233 -4.5091 8.9025
Ca Ga Pd
3 4 4
Cartesian
-3.6316 -5.9619 6.3286
-2.4479 -3.5351 0.7626
0.0000 0.0000 0.0000
-3.7594 -3.5332 4.0347
0.1999 -2.3609 2.2166
-6.2794 -7.1361 4.8746
-2.3200 -5.9637 3.0566
-4.8449 -5.7879 3.3351
-6.6724 -6.2709 7.1608
0.5929 -3.2261 -0.0696
-1.2346 -3.7091 3.7561
```



Record 17
First-principles (PBE) data for crystalline Te3Os at its relaxed geometry, as listed in Alexandria via LeMat-Bulk.

## Properties
As for the formation energy without anion corrections: 3.890 eV/f.u. The value obtained for the magnetic moment is 0.00 μB/atom. For the density of states at the Fermi level, the calculation gives 0.781 states/eV per atom.

```
Te3Os
1.0
-1.6485 -4.6813 -1.4202
3.9547 -2.1573 2.5211
-1.8834 -0.1850 2.7961
Os Te
1 3
Cartesian
0.0000 0.0000 0.0000
1.0356 -1.1712 2.6586
-1.7660 -2.4332 0.6879
1.1531 -3.4193 0.5504
```



Record 18
First-principles (PBE) data for crystalline ZrNi5B2 at its relaxed geometry, as listed in Alexandria via LeMat-Bulk.

## Properties
The value obtained for the magnetic moment is 0.00 μB/atom. For the density of states at the Fermi level, the calculation gives 0.482 states/eV per atom.

```
ZrNi5B2
1.0
3.4218 0.0000 0.0000
1.7109 5.1002 0.2378
1.7109 1.1708 4.9697
Zr Ni B
1 5 2
Cartesian
0.0000 0.0000 0.0000
1.7109 3.1355 2.6038
3.4218 2.9182 0.8801
3.4218 3.3528 4.3274
3.4218 4.8697 2.5007
3.4218 1.4013 2.7068
5.1326 4.6955 3.8992
1.7109 1.5754 1.3083
```



Record 19
First-principles (PBE) data for crystalline Cd2AgOs at its relaxed geometry, as listed in Alexandria via LeMat-Bulk.

## Properties
The value obtained for the magnetic moment is 0.07 μB/atom. For the density of states at the Fermi level, the calculation gives 0.587 states/eV per atom. Its relative energy among the computed polymorphs is 0.069 eV per atom.

```
Cd2AgOs
1.0
6.6654 0.0122 0.0388
-2.7161 4.3129 -0.0128
1.2333 0.7817 2.4848
Os Ag Cd
1 1 2
Cartesian
-0.7414 2.5473 1.2360
1.9747 2.1626 0.0130
0.0000 0.0000 0.0000
3.9494 0.3970 1.2618
```



Record 20
First-principles (PBE) data for crystalline Sr2CaPdO4 at its relaxed geometry, as listed in Alexandria via LeMat-Bulk.

## Properties
As for the formation energy without anion corrections: -16.997 eV/f.u. The value obtained for the magnetic moment is 0.00 μB/atom.

```
Sr2CaPdO4
1.0
-1.8003 -2.3142 1.5312
5.6353 -3.7022 1.0302
-1.9403 4.4427 4.4331
Sr Ca Pd O
2 1 1 4
Cartesian
-1.8703 1.0642 2.9822
1.8475 0.3702 2.7317
1.9175 -3.0082 1.2807
0.0000 0.0000 0.0000
-0.1388 -1.0209 1.8665
2.0335 -0.5528 5.1281
0.3199 2.0749 3.5120
3.3751 -1.3344 1.9514
```



Across the entries above, calculated total energy takes the values -3.242 -3.116 -3.308 -5.217 -4.281 -4.143 -2.825 -10.015 -5.559 -4.390 -6.232 -8.230 -3.961 -5.801 -2.955 -4.214 -4.191 -6.798 -3.564 -5.923 eV per atom, respectively.